This record from the Alexandria database describes a geometry-optimized SbWIO2 structure. The functional is GGA+U.

Lattice parameters (Å, degrees): 4.155 4.155 6.803 90.00 90.00 90.00
Atoms (fractional coordinates):
Sb (0.000, 0.000, 0.000)
W (0.500, 0.500, 0.500)
I (0.000, 0.000, 0.500)
O (0.000, 0.500, 0.000)
O (0.500, 0.000, 0.000)

Output
Space-group type: P4/mmm, No. 123
Final energy in eV/atom: -4.4432
Magnetization in μB/cell: 4.9
Polymorph energy (0 for the lowest one) in meV per atom: 566